[1]
K2LiZr2S6 after structural relaxation, computed with PBE-GGA.

a = 6.497 Å, b = 6.497 Å, c = 7.874 Å
α = 97.46°, β = 97.46°, γ = 120.11°
Atoms (fractional coordinates):
K 0.163 0.837 0.000
K 0.837 0.163 0.000
Li 0.000 0.000 0.500
Zr 0.334 0.666 0.500
Zr 0.666 0.334 0.500
S 0.061 0.409 0.693
S 0.289 0.289 0.306
S 0.409 0.061 0.693
S 0.591 0.939 0.307
S 0.711 0.711 0.694
S 0.939 0.591 0.307

## Properties
Total magnetic moment (μB/cell): 0.0
DOS at the Fermi energy (states/eV/cell): 6.3
E_form (uncorrected) (eV/atom): -1.353
Volume (A^3/atom): 25.2

[2]
ThSeS after structural relaxation, computed with PBE-GGA.

a = 4.943 Å, b = 4.943 Å, c = 6.403 Å
α = 90.00°, β = 90.00°, γ = 110.86°
Atoms (fractional coordinates):
Th 0.229 0.771 0.750
Th 0.771 0.229 0.250
Se 0.138 0.862 0.250
Se 0.862 0.138 0.750
S 0.500 0.500 0.000
S 0.500 0.500 0.500

## Properties
Total magnetic moment (μB/cell): 0.0
DOS at the Fermi energy (states/eV/cell): 0.8
E_form (uncorrected) (eV/atom): -1.542
Volume (A^3/atom): 24.4

[3]
YMg2Cu2 after structural relaxation, computed with PBE-GGA.

a = 3.809 Å, b = 4.143 Å, c = 12.720 Å
α = 90.00°, β = 98.55°, γ = 90.00°
Atoms (fractional coordinates):
Y 0.136 0.250 0.274
Y 0.864 0.750 0.726
Mg 0.252 0.750 0.503
Mg 0.445 0.250 0.890
Mg 0.555 0.750 0.110
Mg 0.748 0.250 0.497
Cu 0.025 0.250 0.049
Cu 0.327 0.250 0.654
Cu 0.673 0.750 0.346
Cu 0.975 0.750 0.951

## Properties
Total magnetic moment (μB/cell): 0.0
DOS at the Fermi energy (states/eV/cell): 4.8
Formation enthalpy at 0 K (eV per formula unit): -0.68
Volume (A^3/atom): 19.9

[4]
LaTb5NdHo2 after structural relaxation, computed with PBE-GGA.

a = 9.966 Å, b = 9.966 Å, c = 9.966 Å
α = 127.92°, β = 127.92°, γ = 76.76°
Atoms (fractional coordinates):
La 0.250 0.250 0.000
La 0.750 0.750 0.000
Tb 0.000 0.000 0.000
Tb 0.068 0.568 0.900
Tb 0.168 0.068 0.500
Tb 0.332 0.832 0.900
Tb 0.432 0.332 0.500
Tb 0.500 0.500 0.000
Tb 0.568 0.668 0.500
Tb 0.668 0.168 0.100
Tb 0.832 0.932 0.500
Tb 0.932 0.432 0.100
Nd 0.250 0.750 0.500
Nd 0.750 0.250 0.500
Ho 0.118 0.382 0.500
Ho 0.382 0.882 0.264
Ho 0.618 0.118 0.736
Ho 0.882 0.618 0.500

## Properties
Total magnetic moment (μB/cell): 0.0
DOS at the Fermi energy (states/eV/cell): 23.7
Formation enthalpy at 0 K (eV per formula unit): 2.48
Volume (A^3/atom): 33.2

Number 4 is which compound? LaTb5NdHo2

Number 1 is which compound? K2LiZr2S6